CuAgP2: relaxed, PBE.

Computed properties:
Total moment ... 0.0 μB per formula unit
Formation energy ... 169 meV per atom
E above lowest polymorph ... 72 meV per atom

a b c (Å): 3.3019 4.2832 4.8501
angles (deg): 90.00 96.43 90.00
Closest atoms and distances in Å follow each position.
Space group P2/m (No. 10)
Inequivalent atoms, fractional coordinates:
1 Cu 0.0000 0.0000 0.0000 [1 per cell]  4 P 2.43
2 Ag 0.5000 0.0000 0.5000 [1 per cell]  4 P 2.74, 2 Cu 2.78
3 P 0.2821 0.5000 0.1615 [2 per cell]  2 P 2.24-2.30, 2 Cu 2.43


CuAgP2: relaxed, PBE.

Computed properties:
Total moment ... 0.0 μB per formula unit
Formation energy ... 256 meV per atom
E above lowest polymorph ... 159 meV per atom

a b c (Å): 2.6456 3.7441 7.0421
angles (deg): 90.00 90.00 90.00
Closest atoms and distances in Å follow each position.
Space group Pmm2 (No. 25)
Inequivalent atoms, fractional coordinates:
1 Cu 0.0000 0.0000 0.0000 [1 per cell]  5 P 2.34-2.45
2 Ag 0.5000 0.5000 0.5138 [1 per cell]  5 P 2.56-2.62, 2 Ag 2.65
3 P 0.0000 0.0000 0.3327 [1 per cell]  1 Cu 2.34, 4 Ag 2.62
4 P 0.5000 0.5000 0.8774 [1 per cell]  4 Cu 2.45, 1 Ag 2.56, 2 P 2.65


CuAg2P: relaxed, PBE.

Computed properties:
Total moment ... 0.0 μB per formula unit
Formation energy ... 256 meV per atom

a b c (Å): 9.0571 2.9324 4.8678
angles (deg): 90.00 99.62 90.00
Closest atoms and distances in Å follow each position.
Space group C2/m (No. 12)
Inequivalent atoms, fractional coordinates:
1 Cu 0.0000 0.0000 0.0000 [2 per cell]  6 Ag 2.74-2.80, 4 P 2.84, 2 Cu 2.93
2 Ag 0.2502 0.0000 0.7517 [4 per cell]  3 Cu 2.74-2.80, 3 P 2.75-2.80, 6 Ag 2.83-2.93
3 P 0.0000 0.5000 0.5000 [2 per cell]  6 Ag 2.75-2.80, 4 Cu 2.84, 2 P 2.93


CuAgP2: relaxed, PBE.

Computed properties:
Total moment ... 0.0 μB per formula unit
Formation energy ... 444 meV per atom
E above lowest polymorph ... 347 meV per atom

a b c (Å): 4.9490 4.9490 2.5538
angles (deg): 90.00 90.00 90.00
Closest atoms and distances in Å follow each position.
Space group P4/mmm (No. 123)
Inequivalent atoms, fractional coordinates:
1 Cu 0.0000 0.0000 0.0000 [1 per cell]  2 Cu 2.55, 8 P 2.78
2 Ag 0.5000 0.5000 0.0000 [1 per cell]  2 Ag 2.55, 8 P 2.78
3 P 0.0000 0.5000 0.5000 [2 per cell]  2 P 2.55, 4 Cu 2.78, 4 Ag 2.78


CuAgP2: relaxed, PBE.

Computed properties:
Total moment ... 0.0 μB per formula unit
Formation energy ... 269 meV per atom
E above lowest polymorph ... 172 meV per atom

a b c (Å): 3.8840 4.4448 10.2509
angles (deg): 90.00 90.00 90.00
Closest atoms and distances in Å follow each position.
Space group Immm (No. 71)
Inequivalent atoms, fractional coordinates:
1 Cu 0.0000 0.0000 0.0000 [2 per cell]  4 P 2.29
2 Ag 0.0000 0.0000 0.5000 [2 per cell]  4 P 2.54
3 P 0.0000 0.5000 0.3808 [4 per cell]  2 Cu 2.29, 1 P 2.44, 2 Ag 2.54


Cu2Ag2P: relaxed, PBE.

Computed properties:
Total moment ... 0.0 μB per formula unit
Formation energy ... 397 meV per atom
E above lowest polymorph ... 283 meV per atom

a b c (Å): 6.8181 6.8181 3.4635
angles (deg): 90.00 90.00 90.00
Closest atoms and distances in Å follow each position.
Space group P4/mbm (No. 127)
Inequivalent atoms, fractional coordinates:
1 Cu 0.1429 0.3571 0.0000 [4 per cell]  6 Ag 2.62-2.66, 1 Cu 2.76
2 Ag 0.1529 0.6529 0.5000 [4 per cell]  2 P 2.59, 6 Cu 2.62-2.66
3 P 0.0000 0.0000 0.5000 [2 per cell]  4 Ag 2.59


Across the entries above, V takes the values 68 70 64 63 88 81 Å³/f.u., respectively.
Across the entries above, raw total energy takes the values -17.09 -16.74 -14.18 -15.99 -16.69 -17.32 eV/f.u., respectively.